# AgGe2O, relaxed, DFT GGA-PBE
data_AgGe2O
_cell_length_a 5.0576
_cell_length_b 5.0576
_cell_length_c 6.9687
_cell_angle_alpha 68.72
_cell_angle_beta 68.72
_cell_angle_gamma 90.00
_symmetry_space_group_name_H-M 'P 1'
_symmetry_Int_Tables_number 1
loop_
_symmetry_equiv_pos_as_xyz
'x,y,z'
loop_
_atom_site_label
_atom_site_fract_x
_atom_site_fract_y
_atom_site_fract_z
_atom_site_occupancy
Ge1 0.5317 0.1250 0.2500 1
Ge2 0.2183 0.6250 0.2500 1
Ge3 0.3750 0.4683 0.7500 1
Ge4 0.8750 0.7817 0.7500 1
O1 0.5000 0.5000 0.0000 1
O2 0.2500 0.7500 0.5000 1
Ag1 0.0000 0.0000 0.0000 1
Ag2 0.7500 0.2500 0.5000 1
# **Formation energy without anion corrections**: -0.120 eV per atom
# **Spin magnetization**: 0.0 μB/f.u.
# **V**: 153.0 Å³/cell